[1]
Entry from the Alexandria database: crystalline CrSnS2N at its relaxed geometry (PBE).

The structure in extended XYZ format:
```
5
Lattice="-0.5506 -1.5231 4.5771 -0.8525 -4.5035 -1.6012 3.5146 -0.7293 0.1801" Properties=species:S:1:pos:R:3 pbc="T T T"
Cr 0.0000 0.0000 0.0000
S -0.4263 -2.2518 -0.8006
S -0.2753 -0.7615 2.2885
Sn 1.0557 -3.3780 1.5780
N 1.7573 -0.3647 0.0901
```

Its calculated total energy is -30.483 eV for the cell shown. As for the crystal system: tetragonal. The total moment is 1.1 μB per cell. As for the raw formation energy: -55 meV/atom. The calculation puts the volume at 16.94 Å³/atom. The energy above the most stable polymorph in this dataset is 0.0000 eV per atom. The value obtained for the density of states at the Fermi level is 0.511 states/eV per atom. The space group is P4/mmm, No. 123.

[2]
Entry from the Alexandria database: crystalline CrSnSN2 at its relaxed geometry (PBE).

The structure in extended XYZ format:
```
5
Lattice="-1.2386 -2.8557 -2.1460 -2.0728 -2.0663 3.9459 -3.1962 1.9002 -0.6839" Properties=species:S:1:pos:R:3 pbc="T T T"
Cr 0.0000 0.0000 0.0000
S -1.0364 -1.0332 1.9730
Sn -3.2538 -1.5109 0.5580
N -1.5981 0.9501 -0.3419
N -0.6193 -1.4278 -1.0730
```

Its calculated total energy is -32.630 eV for the cell shown. As for the crystal system: tetragonal. The total moment is 0.0 μB per cell. As for the raw formation energy: 355 meV/atom. The calculation puts the volume at 14.05 Å³/atom. The energy above the most stable polymorph in this dataset is 0.0000 eV per atom. The value obtained for the density of states at the Fermi level is 0.674 states/eV per atom. The space group is P4/mmm, No. 123.

[3]
Entry from the Alexandria database: crystalline TaCrSN2 at its relaxed geometry (PBE).

The structure in extended XYZ format:
```
5
Lattice="-3.7075 1.1380 -0.8368 -1.1535 -3.7958 -0.0510 -1.0522 0.2526 5.0053" Properties=species:S:1:pos:R:3 pbc="T T T"
Cr -2.9566 -1.2026 2.0588
S -0.5261 0.1263 2.5026
N -0.5768 -1.8979 -0.0255
N -1.8538 0.5690 -0.4184
Ta 0.0000 0.0000 0.0000
```

Its calculated total energy is -41.400 eV for the cell shown. As for the crystal system: tetragonal. The total moment is 3.6 μB per cell. As for the raw formation energy: 171 meV/atom. The calculation puts the volume at 16.12 Å³/atom. The energy above the most stable polymorph in this dataset is 0.0000 eV per atom. The value obtained for the density of states at the Fermi level is 0.422 states/eV per atom. The space group is P4/mmm, No. 123.

[4]
Entry from the Alexandria database: crystalline TaCrSN2 at its relaxed geometry (PBE).

The structure in extended XYZ format:
```
5
Lattice="-2.1022 0.1925 -3.0031 -2.4347 -2.2619 1.5593 -2.1892 3.5706 1.7613" Properties=species:S:1:pos:R:3 pbc="T T T"
Cr 0.0000 0.0000 0.0000
S -1.0946 1.7853 0.8807
N -1.2173 -1.1309 0.7796
N -1.0511 0.0963 -1.5016
Ta -3.3630 0.7506 0.1587
```

Its calculated total energy is -39.618 eV for the cell shown. As for the crystal system: tetragonal. The total moment is 0.0 μB per cell. As for the raw formation energy: 527 meV/atom. The calculation puts the volume at 12.24 Å³/atom. The energy above the most stable polymorph in this dataset is 0.3564 eV per atom. The value obtained for the density of states at the Fermi level is 0.760 states/eV per atom. The space group is P4/mmm, No. 123.

[5]
Entry from the Alexandria database: crystalline CrTcSN2 at its relaxed geometry (PBE).

The structure in extended XYZ format:
```
5
Lattice="3.7888 0.0000 0.0000 0.0000 3.7888 0.0000 0.0000 0.0000 5.1501" Properties=species:S:1:pos:R:3 pbc="T T T"
Cr 1.8944 1.8944 2.5751
S 0.0000 0.0000 2.5751
Tc 0.0000 0.0000 0.0000
N 0.0000 1.8944 0.0000
N 1.8944 0.0000 0.0000
```

Its calculated total energy is -38.104 eV for the cell shown. As for the crystal system: tetragonal. The total moment is 3.7 μB per cell. As for the raw formation energy: 533 meV/atom. The calculation puts the volume at 14.79 Å³/atom. The energy above the most stable polymorph in this dataset is 0.0000 eV per atom. The value obtained for the density of states at the Fermi level is 0.858 states/eV per atom. The space group is P4/mmm, No. 123.

[6]
Entry from the Alexandria database: crystalline CrTcSN2 at its relaxed geometry (PBE).

The structure in extended XYZ format:
```
5
Lattice="3.7084 0.0000 0.0000 0.0000 5.4989 0.0000 0.0000 0.0000 3.7084" Properties=species:S:1:pos:R:3 pbc="T T T"
Cr 0.0000 2.7495 0.0000
S 1.8542 2.7495 1.8542
Tc 0.0000 0.0000 0.0000
N 0.0000 0.0000 1.8542
N 1.8542 0.0000 0.0000
```

Its calculated total energy is -36.006 eV for the cell shown. As for the crystal system: tetragonal. The total moment is 0.4 μB per cell. As for the raw formation energy: 952 meV/atom. The calculation puts the volume at 15.12 Å³/atom. The energy above the most stable polymorph in this dataset is 0.4196 eV per atom. The value obtained for the density of states at the Fermi level is 0.990 states/eV per atom. The space group is P4/mmm, No. 123.